Record 1
# As2Pb4S6ICl PBEsol optimized geometry
data_As2Pb4S6ICl
_symmetry_space_group_name_H-M 'P m n 21'
_symmetry_Int_Tables_number 31
_symmetry_space_group_name_Hall 'P 2ac -2'
_cell_length_a 6.5896
_cell_length_b 11.4255
_cell_length_c 9.2709
_cell_angle_alpha 90.00
_cell_angle_beta 90.00
_cell_angle_gamma 90.00
loop_
_atom_site_label
_atom_site_fract_x
_atom_site_fract_y
_atom_site_fract_z
As1 0.0000 0.1726 0.0000
As2 0.0000 0.6746 0.5699
Pb1 0.0000 0.3768 0.3493
Pb2 0.0000 0.4155 0.8118
Pb3 0.0000 0.8783 0.2237
Pb4 0.0000 0.9295 0.7405
S1 0.0000 0.1498 0.2406
S2 0.0000 0.6511 0.3283
S3 0.2461 0.4532 0.1149
S4 0.2491 0.9567 0.4513
I1 0.0000 0.7022 0.9368
Cl1 0.0000 0.2047 0.6483
# uncorrected formation energy	-0.46	eV per atom
# M_tot	0.00	Bohr magnetons per cell
# ρ	6.34	Mg/m³
# DFT total energy	-4.485	eV/atom


Record 2
# SbAsI2Cl PBEsol optimized geometry
data_SbAsI2Cl
_symmetry_space_group_name_H-M 'P 4/m m m'
_symmetry_Int_Tables_number 123
_symmetry_space_group_name_Hall '-P 4 2'
_cell_length_a 5.5195
_cell_length_b 5.5195
_cell_length_c 5.3413
_cell_angle_alpha 90.00
_cell_angle_beta 90.00
_cell_angle_gamma 90.00
loop_
_atom_site_label
_atom_site_fract_x
_atom_site_fract_y
_atom_site_fract_z
Sb1 0.0000 0.0000 0.0000
As1 0.5000 0.5000 0.0000
I1 0.0000 0.5000 0.5000
Cl1 0.0000 0.0000 0.5000
# offset from the most stable computed form	595	meV/atom
# uncorrected formation energy	0.92	eV per atom
# M_tot	1.01	Bohr magnetons per cell
# ρ	4.96	Mg/m³
# DFT total energy	-2.121	eV/atom


Record 3
# SbAsI2Cl PBEsol optimized geometry
data_SbAsI2Cl
_symmetry_space_group_name_H-M 'P 4/m m m'
_symmetry_Int_Tables_number 123
_symmetry_space_group_name_Hall '-P 4 2'
_cell_length_a 5.4452
_cell_length_b 5.4452
_cell_length_c 5.5439
_cell_angle_alpha 90.00
_cell_angle_beta 90.00
_cell_angle_gamma 90.00
loop_
_atom_site_label
_atom_site_fract_x
_atom_site_fract_y
_atom_site_fract_z
Sb1 0.0000 0.0000 0.0000
As1 0.0000 0.0000 0.5000
I1 0.0000 0.5000 0.5000
Cl1 0.5000 0.5000 0.0000
# offset from the most stable computed form	0	meV/atom
# uncorrected formation energy	0.32	eV per atom
# M_tot	0.01	Bohr magnetons per cell
# ρ	4.91	Mg/m³
# DFT total energy	-2.716	eV/atom


Record 4
# As2SeICl PBEsol optimized geometry
data_As2SeICl
_symmetry_space_group_name_H-M 'P 4/m m m'
_symmetry_Int_Tables_number 123
_symmetry_space_group_name_Hall '-P 4 2'
_cell_length_a 5.0216
_cell_length_b 5.0216
_cell_length_c 4.9054
_cell_angle_alpha 90.00
_cell_angle_beta 90.00
_cell_angle_gamma 90.00
loop_
_atom_site_label
_atom_site_fract_x
_atom_site_fract_y
_atom_site_fract_z
As1 0.0000 0.5000 0.0000
Se1 0.0000 0.0000 0.5000
I1 0.5000 0.5000 0.5000
Cl1 0.0000 0.0000 0.0000
# uncorrected formation energy	0.97	eV per atom
# M_tot	0.00	Bohr magnetons per cell
# ρ	5.25	Mg/m³
# DFT total energy	-2.593	eV/atom


Record 5
# SiAsICl2 PBEsol optimized geometry
data_SiAsICl2
_symmetry_space_group_name_H-M 'P 4/m m m'
_symmetry_Int_Tables_number 123
_symmetry_space_group_name_Hall '-P 4 2'
_cell_length_a 4.5441
_cell_length_b 4.5441
_cell_length_c 5.4404
_cell_angle_alpha 90.00
_cell_angle_beta 90.00
_cell_angle_gamma 90.00
loop_
_atom_site_label
_atom_site_fract_x
_atom_site_fract_y
_atom_site_fract_z
Si1 0.0000 0.0000 0.0000
As1 0.0000 0.0000 0.5000
I1 0.5000 0.5000 0.5000
Cl1 0.0000 0.5000 0.0000
# uncorrected formation energy	-0.13	eV per atom
# M_tot	0.00	Bohr magnetons per cell
# ρ	4.45	Mg/m³
# DFT total energy	-3.454	eV/atom


Record 6
# InAs2Cl PBEsol optimized geometry
data_InAs2Cl
_symmetry_space_group_name_H-M 'F m -3 m'
_symmetry_Int_Tables_number 225
_symmetry_space_group_name_Hall '-F 4 2 3'
_cell_length_a 6.8229
_cell_length_b 6.8229
_cell_length_c 6.8229
_cell_angle_alpha 90.00
_cell_angle_beta 90.00
_cell_angle_gamma 90.00
loop_
_atom_site_label
_atom_site_fract_x
_atom_site_fract_y
_atom_site_fract_z
In1 0.0000 0.0000 0.0000
As1 0.2500 0.2500 0.2500
Cl1 0.0000 0.0000 0.5000
# offset from the most stable computed form	230	meV/atom
# uncorrected formation energy	0.20	eV per atom
# M_tot	0.00	Bohr magnetons per cell
# ρ	6.28	Mg/m³
# DFT total energy	-3.603	eV/atom


Record 7
# InAs2Cl PBEsol optimized geometry
data_InAs2Cl
_symmetry_space_group_name_H-M 'I m m m'
_symmetry_Int_Tables_number 71
_symmetry_space_group_name_Hall '-I 2 2'
_cell_length_a 3.2989
_cell_length_b 4.5329
_cell_length_c 11.1754
_cell_angle_alpha 90.00
_cell_angle_beta 90.00
_cell_angle_gamma 90.00
loop_
_atom_site_label
_atom_site_fract_x
_atom_site_fract_y
_atom_site_fract_z
In1 0.0000 0.0000 0.0000
As1 0.0000 0.5000 0.2829
Cl1 0.0000 0.0000 0.5000
# offset from the most stable computed form	0	meV/atom
# uncorrected formation energy	-0.03	eV per atom
# M_tot	0.00	Bohr magnetons per cell
# ρ	5.96	Mg/m³
# DFT total energy	-3.833	eV/atom


Record 8
# In3AsCl PBEsol optimized geometry
data_In3AsCl
_symmetry_space_group_name_H-M 'P m -3 m'
_symmetry_Int_Tables_number 221
_symmetry_space_group_name_Hall '-P 4 2 3'
_cell_length_a 5.5111
_cell_length_b 5.5111
_cell_length_c 5.5111
_cell_angle_alpha 90.00
_cell_angle_beta 90.00
_cell_angle_gamma 90.00
loop_
_atom_site_label
_atom_site_fract_x
_atom_site_fract_y
_atom_site_fract_z
In1 0.0000 0.0000 0.5000
As1 0.0000 0.0000 0.0000
Cl1 0.5000 0.5000 0.5000
# uncorrected formation energy	0.14	eV per atom
# M_tot	0.00	Bohr magnetons per cell
# ρ	4.51	Mg/m³
# DFT total energy	-3.072	eV/atom